No. 1
First-principles (GGA-PBE) data for a geometry-optimized Li2ZrAu structure, as listed in the Alexandria database.

```
data_Li2ZrAu
_chemical_formula_sum 'Li2 Zr1 Au1'
_space_group_name_H-M_alt 'P 1 2/m 1'
_space_group_IT_number 10
_space_group_name_Hall '-P 2y'
_cell_length_a 2.863
_cell_length_b 4.969
_cell_length_c 5.172
_cell_angle_alpha 90.00
_cell_angle_beta 92.48
_cell_angle_gamma 90.00
loop_
_atom_site_label
_atom_site_type_symbol
_atom_site_fract_x
_atom_site_fract_y
_atom_site_fract_z
_atom_site_occupancy
Li1 Li 0.155 0.000 0.264 1
Zr1 Zr 0.500 0.500 0.000 1
Au1 Au 0.000 0.500 0.500 1
```

Properties
Density of states at the Fermi level   2.52 states/eV/cell
Energy relative to the lowest polymorph listed for this composition   0.24 eV/f.u.
ΔH_f (0 K)   -162 meV per atom
Total DFT energy (no corrections)   -4.075 eV/atom

=====

No. 2
First-principles (GGA-PBE) data for a geometry-optimized Li2ZrAu structure, as listed in the Alexandria database.

```
data_Li2ZrAu
_chemical_formula_sum 'Li4 Zr2 Au2'
_space_group_name_H-M_alt 'C m m m'
_space_group_IT_number 65
_space_group_name_Hall '-C 2 2'
_cell_length_a 3.661
_cell_length_b 4.409
_cell_length_c 9.068
_cell_angle_alpha 90.00
_cell_angle_beta 90.00
_cell_angle_gamma 90.00
loop_
_atom_site_label
_atom_site_type_symbol
_atom_site_fract_x
_atom_site_fract_y
_atom_site_fract_z
_atom_site_occupancy
Li1 Li 0.000 0.000 0.210 1
Zr1 Zr 0.000 0.500 0.500 1
Au1 Au 0.000 0.500 0.000 1
```

Properties
Density of states at the Fermi level   3.23 states/eV/cell
Energy relative to the lowest polymorph listed for this composition   0.40 eV/f.u.
ΔH_f (0 K)   -123 meV per atom
Total DFT energy (no corrections)   -4.036 eV/atom

=====

No. 3
First-principles (GGA-PBE) data for a geometry-optimized Li2ZrAu structure, as listed in the Alexandria database.

```
data_Li2ZrAu
_chemical_formula_sum 'Li4 Zr2 Au2'
_space_group_name_H-M_alt 'C m m m'
_space_group_IT_number 65
_space_group_name_Hall '-C 2 2'
_cell_length_a 5.685
_cell_length_b 9.475
_cell_length_c 2.779
_cell_angle_alpha 90.00
_cell_angle_beta 90.00
_cell_angle_gamma 90.00
loop_
_atom_site_label
_atom_site_type_symbol
_atom_site_fract_x
_atom_site_fract_y
_atom_site_fract_z
_atom_site_occupancy
Li1 Li 0.250 0.250 0.000 1
Zr1 Zr 0.000 0.000 0.500 1
Au1 Au 0.000 0.500 0.500 1
```

Properties
Density of states at the Fermi level   6.07 states/eV/cell
Energy relative to the lowest polymorph listed for this composition   1.07 eV/f.u.
ΔH_f (0 K)   45 meV per atom
Total DFT energy (no corrections)   -3.868 eV/atom

=====

No. 4
First-principles (GGA-PBE) data for a geometry-optimized Li2ZrAu structure, as listed in the Alexandria database.

```
data_Li2ZrAu
_chemical_formula_sum 'Li2 Zr1 Au1'
_space_group_name_H-M_alt 'P 4/m m m'
_space_group_IT_number 123
_space_group_name_Hall '-P 4 2'
_cell_length_a 2.890
_cell_length_b 2.890
_cell_length_c 8.728
_cell_angle_alpha 90.00
_cell_angle_beta 90.00
_cell_angle_gamma 90.00
loop_
_atom_site_label
_atom_site_type_symbol
_atom_site_fract_x
_atom_site_fract_y
_atom_site_fract_z
_atom_site_occupancy
Li1 Li 0.000 0.000 0.205 1
Zr1 Zr 0.500 0.500 0.500 1
Au1 Au 0.500 0.500 0.000 1
```

Properties
Density of states at the Fermi level   1.89 states/eV/cell
Energy relative to the lowest polymorph listed for this composition   0.43 eV/f.u.
ΔH_f (0 K)   -115 meV per atom
Total DFT energy (no corrections)   -4.028 eV/atom

=====

No. 5
First-principles (GGA-PBE) data for a geometry-optimized LiZrAu structure, as listed in the Alexandria database.

```
data_LiZrAu
_chemical_formula_sum 'Li4 Zr4 Au4'
_space_group_name_H-M_alt 'F -4 3 m'
_space_group_IT_number 216
_space_group_name_Hall 'F -4 2 3'
_cell_length_a 6.397
_cell_length_b 6.397
_cell_length_c 6.397
_cell_angle_alpha 90.00
_cell_angle_beta 90.00
_cell_angle_gamma 90.00
loop_
_atom_site_label
_atom_site_type_symbol
_atom_site_fract_x
_atom_site_fract_y
_atom_site_fract_z
_atom_site_occupancy
Li1 Li 0.000 0.000 0.000 1
Zr1 Zr 0.250 0.250 0.250 1
Au1 Au 0.000 0.000 0.500 1
```

Properties
Density of states at the Fermi level   12.93 states/eV/cell
Energy relative to the lowest polymorph listed for this composition   1.57 eV/f.u.
ΔH_f (0 K)   219 meV per atom
Total DFT energy (no corrections)   -4.361 eV/atom

=====

No. 6
First-principles (GGA-PBE) data for a geometry-optimized LiZrAu6 structure, as listed in the Alexandria database.

```
data_LiZrAu6
_chemical_formula_sum 'Li2 Zr2 Au12'
_space_group_name_H-M_alt 'C 1 2/m 1'
_space_group_IT_number 12
_space_group_name_Hall '-C 2y'
_cell_length_a 9.285
_cell_length_b 4.143
_cell_length_c 8.350
_cell_angle_alpha 90.00
_cell_angle_beta 116.78
_cell_angle_gamma 90.00
loop_
_atom_site_label
_atom_site_type_symbol
_atom_site_fract_x
_atom_site_fract_y
_atom_site_fract_z
_atom_site_occupancy
Li1 Li 0.000 0.000 0.000 1
Zr1 Zr 0.000 0.000 0.500 1
Au1 Au 0.001 0.500 0.755 1
Au2 Au 0.250 0.000 0.372 1
Au3 Au 0.250 0.000 0.878 1
```

Properties
Density of states at the Fermi level   8.76 states/eV/cell
ΔH_f (0 K)   -393 meV per atom
Total DFT energy (no corrections)   -4.159 eV/atom

=====

No. 7
First-principles (GGA-PBE) data for a geometry-optimized LiZrAu4 structure, as listed in the Alexandria database.

```
data_LiZrAu4
_chemical_formula_sum 'Li1 Zr1 Au4'
_space_group_name_H-M_alt 'P 4/m m m'
_space_group_IT_number 123
_space_group_name_Hall '-P 4 2'
_cell_length_a 4.348
_cell_length_b 4.348
_cell_length_c 6.519
_cell_angle_alpha 90.00
_cell_angle_beta 90.00
_cell_angle_gamma 90.00
loop_
_atom_site_label
_atom_site_type_symbol
_atom_site_fract_x
_atom_site_fract_y
_atom_site_fract_z
_atom_site_occupancy
Li1 Li 0.000 0.000 0.000 1
Zr1 Zr 0.500 0.500 0.500 1
Au1 Au 0.000 0.500 0.226 1
```

Properties
Density of states at the Fermi level   1.44 states/eV/cell
Energy relative to the lowest polymorph listed for this composition   1.31 eV/f.u.
ΔH_f (0 K)   -275 meV per atom
Total DFT energy (no corrections)   -4.204 eV/atom

=====

No. 8
First-principles (GGA-PBE) data for a geometry-optimized LiZr4Au structure, as listed in the Alexandria database.

```
data_LiZr4Au
_chemical_formula_sum 'Li4 Zr16 Au4'
_space_group_name_H-M_alt 'F -4 3 m'
_space_group_IT_number 216
_space_group_name_Hall 'F -4 2 3'
_cell_length_a 8.101
_cell_length_b 8.101
_cell_length_c 8.101
_cell_angle_alpha 90.00
_cell_angle_beta 90.00
_cell_angle_gamma 90.00
loop_
_atom_site_label
_atom_site_type_symbol
_atom_site_fract_x
_atom_site_fract_y
_atom_site_fract_z
_atom_site_occupancy
Li1 Li 0.000 0.000 0.000 1
Zr1 Zr 0.124 0.124 0.624 1
Au1 Au 0.250 0.250 0.250 1
```

Properties
Density of states at the Fermi level   23.52 states/eV/cell
ΔH_f (0 K)   330 meV per atom
Total DFT energy (no corrections)   -6.234 eV/atom

=====

- Which formula does entry 1 have?
  Li2ZrAu